[1]
Entry from the Alexandria database: crystalline Ba2HoGeS5 at its relaxed geometry (PBE).

Properties
Energy relative to the elements, uncorrected (eV/atom): -1.63
Density (g/cm³): 4.54
M_tot (μB per formula unit): 0.0
D(E_F) (states/eV/f.u.): 1.37

Cell: 9.2314 9.2314 12.7519 Å, 90.00 90.00 153.07°
With the nearest neighbours (Å) after each atom.
Sites, in units of the cell vectors:
Ba 0.1201 0.8799 0.5000  7 S 3.17-3.46
Ba 0.1275 0.8725 0.1422  7 S 3.18-3.48
Ba 0.8725 0.1275 0.6422  7 S 3.18-3.48
Ba 0.8799 0.1201 0.0000  7 S 3.17-3.46
Ho 0.2032 0.7968 0.8414  6 S 2.61-2.88
Ho 0.7968 0.2032 0.3414  6 S 2.61-2.88
Ge 0.4448 0.5552 0.2512  4 S 2.27-2.39
Ge 0.5552 0.4448 0.7512  4 S 2.27-2.39
S 0.0432 0.9568 0.8291  2 Ge 2.38
S 0.2994 0.7006 0.4758  2 Ho 2.75
S 0.3179 0.6821 0.1940  1 Ge 2.39
S 0.3478 0.6522 0.8226  1 Ho 2.61
S 0.4999 0.5001 0.0907  1 Ge 2.27
S 0.5001 0.4999 0.5907  1 Ge 2.27
S 0.6522 0.3478 0.3226  1 Ho 2.61
S 0.6821 0.3179 0.6940  1 Ge 2.39
S 0.7006 0.2994 0.9758  2 Ho 2.75
S 0.9568 0.0432 0.3291  2 Ge 2.38

---

[2]
Entry from the Alexandria database: crystalline TlSbH2 at its relaxed geometry (PBE).

Properties
Density (g/cm³): 8.64
Offset from the most stable computed form (meV/atom): 538
M_tot (μB per formula unit): 0.0
D(E_F) (states/eV/f.u.): 2.97

Cell: 4.4676 4.4676 4.4676 Å, 60.00 60.00 60.00°
With the nearest neighbours (Å) after each atom.
Sites, in units of the cell vectors:
Tl 0.0000 0.0000 0.0000  8 H 2.74
Sb 0.5000 0.5000 0.5000  8 H 2.74
H 0.2500 0.2500 0.2500  4 Tl 2.74, 4 Sb 2.74
H 0.7500 0.7500 0.7500  4 Tl 2.74, 4 Sb 2.74

---

[3]
Entry from the Alexandria database: crystalline Pa2NbCuN6 at its relaxed geometry (PBE).

Properties
Energy relative to the elements, uncorrected (eV/atom): -0.63
Density (g/cm³): 8.58
M_tot (μB per formula unit): 0.0
D(E_F) (states/eV/f.u.): 4.30

Cell: 5.3011 5.3011 4.8413 Å, 90.00 90.00 90.00°
With the nearest neighbours (Å) after each atom.
Sites, in units of the cell vectors:
Pa 0.0000 0.5000 0.0000  4 N 2.25
Pa 0.5000 0.0000 0.0000  4 N 2.25
Nb 0.0000 0.0000 0.5756  5 N 1.91-2.03
Cu 0.5000 0.5000 0.6279  5 N 1.96-2.11
N 0.0000 0.0000 0.1814  1 Nb 1.91
N 0.2488 0.2488 0.7423  1 Cu 1.96, 1 Nb 2.03
N 0.2488 0.7512 0.7423  1 Cu 1.96, 1 Nb 2.03
N 0.5000 0.5000 0.1929  1 Cu 2.11
N 0.7512 0.2488 0.7423  1 Cu 1.96, 1 Nb 2.03
N 0.7512 0.7512 0.7423  1 Cu 1.96, 1 Nb 2.03